Compound: KRb2Tl2
Source: Alexandria
Functional: GGA-PBE
Structure: relaxed

## Properties
- DFT formation energy (meV/atom) = 16
- M_tot (μB/f.u.) = 0.0

Lattice parameters (Å, degrees): 4.575 4.575 27.672 90.00 90.00 90.00
Element x y z (fractional)
K (0.000, 0.000, 0.000)
K (0.500, 0.500, 0.500)
Rb (0.000, 0.000, 0.367)
Rb (0.000, 0.000, 0.633)
Rb (0.500, 0.500, 0.133)
Rb (0.500, 0.500, 0.867)
Tl (0.000, 0.500, 0.250)
Tl (0.000, 0.500, 0.750)
Tl (0.500, 0.000, 0.250)
Tl (0.500, 0.000, 0.750)

=====

Compound: K5Rb2Tl4
Source: Alexandria
Functional: GGA-PBE
Structure: relaxed

## Properties
- DFT formation energy (meV/atom) = 3
- M_tot (μB/f.u.) = 0.0

Lattice parameters (Å, degrees): 9.472 9.472 10.352 114.93 114.93 50.87
Element x y z (fractional)
K (0.000, 0.000, 0.000)
K (0.140, 0.639, 0.593)
K (0.361, 0.860, 0.407)
K (0.639, 0.140, 0.593)
K (0.860, 0.361, 0.407)
Rb (0.259, 0.259, 0.892)
Rb (0.741, 0.741, 0.108)
Tl (0.231, 0.231, 0.257)
Tl (0.419, 0.419, 0.324)
Tl (0.581, 0.581, 0.676)
Tl (0.769, 0.769, 0.743)

=====

Compound: K6Rb9Tl
Source: Alexandria
Functional: GGA-PBE
Structure: relaxed

## Properties
- DFT formation energy (meV/atom) = 10
- M_tot (μB/f.u.) = 0.0

Lattice parameters (Å, degrees): 12.921 12.921 12.921 129.27 129.27 74.58
Element x y z (fractional)
K (0.099, 0.305, 0.403)
K (0.174, 0.174, 0.000)
K (0.305, 0.901, 0.206)
K (0.695, 0.099, 0.794)
K (0.826, 0.826, 0.000)
K (0.901, 0.695, 0.597)
Rb (0.032, 0.456, 0.811)
Rb (0.221, 0.032, 0.576)
Rb (0.354, 0.779, 0.811)
Rb (0.456, 0.646, 0.424)
Rb (0.500, 0.500, 0.000)
Rb (0.544, 0.354, 0.576)
Rb (0.646, 0.221, 0.189)
Rb (0.779, 0.968, 0.424)
Rb (0.968, 0.544, 0.189)
Tl (0.000, 0.000, 0.000)

=====

Compound: K7Rb12Tl
Source: Alexandria
Functional: GGA-PBE
Structure: relaxed

## Properties
- DFT formation energy (meV/atom) = 26
- M_tot (μB/f.u.) = 0.0

Lattice parameters (Å, degrees): 15.225 15.225 15.225 116.64 116.64 116.64
Element x y z (fractional)
K (0.000, 0.000, 0.000)
K (0.182, 0.404, 0.404)
K (0.404, 0.182, 0.404)
K (0.404, 0.404, 0.182)
K (0.596, 0.596, 0.818)
K (0.596, 0.818, 0.596)
K (0.818, 0.596, 0.596)
Rb (0.000, 0.411, 0.589)
Rb (0.000, 0.589, 0.411)
Rb (0.048, 0.048, 0.394)
Rb (0.048, 0.394, 0.048)
Rb (0.394, 0.048, 0.048)
Rb (0.411, 0.000, 0.589)
Rb (0.411, 0.589, 0.000)
Rb (0.589, 0.000, 0.411)
Rb (0.589, 0.411, 0.000)
Rb (0.606, 0.952, 0.952)
Rb (0.952, 0.606, 0.952)
Rb (0.952, 0.952, 0.606)
Tl (0.500, 0.500, 0.500)

=====

Compound: KRb2Tl16
Source: Alexandria
Functional: GGA-PBE
Structure: relaxed

## Properties
- DFT formation energy (meV/atom) = -34
- M_tot (μB/f.u.) = 0.0

Lattice parameters (Å, degrees): 8.749 8.749 8.749 83.12 83.12 83.12
Element x y z (fractional)
K (0.000, 0.000, 0.000)
Rb (0.255, 0.255, 0.255)
Rb (0.560, 0.560, 0.560)
Tl (0.062, 0.553, 0.553)
Tl (0.204, 0.605, 0.906)
Tl (0.204, 0.906, 0.605)
Tl (0.263, 0.263, 0.756)
Tl (0.263, 0.756, 0.263)
Tl (0.413, 0.899, 0.899)
Tl (0.553, 0.062, 0.553)
Tl (0.553, 0.553, 0.062)
Tl (0.605, 0.204, 0.906)
Tl (0.605, 0.906, 0.204)
Tl (0.756, 0.263, 0.263)
Tl (0.789, 0.789, 0.789)
Tl (0.899, 0.413, 0.899)
Tl (0.899, 0.899, 0.413)
Tl (0.906, 0.204, 0.605)
Tl (0.906, 0.605, 0.204)

=====

Compound: K12Rb3Tl
Source: Alexandria
Functional: GGA-PBE
Structure: relaxed

## Properties
- DFT formation energy (meV/atom) = 8
- M_tot (μB/f.u.) = 0.0

Lattice parameters (Å, degrees): 6.608 6.608 25.358 90.00 90.00 90.00
Element x y z (fractional)
K (0.000, 0.000, 0.000)
K (0.000, 0.000, 0.231)
K (0.000, 0.000, 0.500)
K (0.000, 0.000, 0.769)
K (0.000, 0.500, 0.095)
K (0.000, 0.500, 0.364)
K (0.000, 0.500, 0.636)
K (0.000, 0.500, 0.905)
K (0.500, 0.000, 0.095)
K (0.500, 0.000, 0.364)
K (0.500, 0.000, 0.636)
K (0.500, 0.000, 0.905)
Rb (0.500, 0.500, 0.227)
Rb (0.500, 0.500, 0.500)
Rb (0.500, 0.500, 0.773)
Tl (0.500, 0.500, 0.000)

=====

Repeat the fifth record exactly.
Compound: KRb2Tl16
Source: Alexandria
Functional: GGA-PBE
Structure: relaxed

## Properties
- DFT formation energy (meV/atom) = -34
- M_tot (μB/f.u.) = 0.0

Lattice parameters (Å, degrees): 8.749 8.749 8.749 83.12 83.12 83.12
Element x y z (fractional)
K (0.000, 0.000, 0.000)
Rb (0.255, 0.255, 0.255)
Rb (0.560, 0.560, 0.560)
Tl (0.062, 0.553, 0.553)
Tl (0.204, 0.605, 0.906)
Tl (0.204, 0.906, 0.605)
Tl (0.263, 0.263, 0.756)
Tl (0.263, 0.756, 0.263)
Tl (0.413, 0.899, 0.899)
Tl (0.553, 0.062, 0.553)
Tl (0.553, 0.553, 0.062)
Tl (0.605, 0.204, 0.906)
Tl (0.605, 0.906, 0.204)
Tl (0.756, 0.263, 0.263)
Tl (0.789, 0.789, 0.789)
Tl (0.899, 0.413, 0.899)
Tl (0.899, 0.899, 0.413)
Tl (0.906, 0.204, 0.605)
Tl (0.906, 0.605, 0.204)

=====

- Which formula does entry 5 have?
  KRb2Tl16